BePdRu3 | PBE | optimized geometry

Cell: 4.7306 4.7306 4.7306 Å, 90.00 90.00 90.00°
Fractional positions:
Be  0.0000  0.0000  0.0000
Pd  0.5000  0.5000  0.5000
Ru  0.0000  0.5000  0.5000
Ru  0.5000  0.0000  0.5000
Ru  0.5000  0.5000  0.0000

Calculated values
Volume: 106 Å³/f.u.
Calculated total energy: -5.05 eV per atom
Space-group type: Pm-3m (221)